Record 1
YTlSi2Ir after structural relaxation, computed with PBE.

Cell lengths 4.889, 4.889, 5.699 Å; angles 90.00, 90.00, 90.00 degrees
Space group P4/mmm (No. 123)
Unique sites:
Y 0.000 0.000 0.000 (multiplicity 1)
Tl 0.000 0.000 0.500 (multiplicity 1)
Si 0.000 0.500 0.500 (multiplicity 2)
Ir 0.500 0.500 0.000 (multiplicity 1)

Results
Its uncorrected formation energy is 743 kJ/mol of formula units. Its magnetic moment is 0.0 Bohr magnetons per cell.



Record 2
PrZn9Ga2 after structural relaxation, computed with PBE.

Cell lengths 10.584, 10.584, 7.188 Å; angles 90.00, 90.00, 90.00 degrees
Space group I4_1/amd (No. 141, origin choice 2)
Unique sites:
Pr 0.000 0.250 0.375 (multiplicity 4)
Zn 0.000 0.250 0.875 (multiplicity 4)
Zn 0.122 0.045 0.671 (multiplicity 32)
Ga 0.000 0.000 0.000 (multiplicity 8)

Results
The formation energy comes out at -0.167 eV/atom. Its magnetic moment is 0.0 Bohr magnetons per cell.



Record 3
Pa2In after structural relaxation, computed with PBE.

Cell lengths 3.1648, 3.1648, 8.6508 Å; angles 90.00, 90.00, 120.00 degrees
Space group P-3m1 (No. 164)
Unique sites:
Pa 0.3333 0.6667 0.3300 (multiplicity 2)
In 0.0000 0.0000 0.0000 (multiplicity 1)

Results
The formation energy comes out at 0.033 eV/atom. Its magnetic moment is 0.0 Bohr magnetons per cell.



Record 4
BaMn2Au after structural relaxation, computed with PBE.

Cell lengths 3.752, 5.058, 5.080 Å; angles 90.00, 90.00, 90.00 degrees
Space group Pmmm (No. 47)
Unique sites:
Ba 0.000 0.000 0.000 (multiplicity 1)
Mn 0.000 0.500 0.500 (multiplicity 1)
Mn 0.500 0.000 0.500 (multiplicity 1)
Au 0.500 0.500 0.000 (multiplicity 1)

Results
The formation energy comes out at 0.555 eV/atom. Its magnetic moment is 8.0 Bohr magnetons per cell.



Record 5
BaLaBi2 after structural relaxation, computed with PBE.

Cell lengths 6.289, 6.289, 3.613 Å; angles 90.00, 90.00, 90.00 degrees
Space group P4/mmm (No. 123)
Unique sites:
Ba 0.000 0.000 0.000 (multiplicity 1)
La 0.500 0.500 0.000 (multiplicity 1)
Bi 0.000 0.500 0.500 (multiplicity 2)

Results
The formation energy comes out at -0.807 eV/atom. Its magnetic moment is 0.3 Bohr magnetons per cell.



Record 6
CuSbAu after structural relaxation, computed with PBE.

Cell lengths 3.801, 3.814, 7.961 Å; angles 90.00, 90.00, 90.00 degrees
Space group Imm2 (No. 44)
Unique sites:
Cu 0.000 0.000 0.000 (multiplicity 2)
Sb 0.000 0.000 0.328 (multiplicity 2)
Au 0.000 0.000 0.670 (multiplicity 2)

Results
Its uncorrected formation energy is 29 kJ/mol of formula units. Its magnetic moment is 0.0 Bohr magnetons per cell.



Record 7
KYMgS3 after structural relaxation, computed with PBE.

Cell lengths 8.708, 4.111, 9.813 Å; angles 90.00, 107.09, 90.00 degrees
Space group P2_1/m (No. 11)
Unique sites:
K 0.201 0.250 0.213 (multiplicity 2)
Y 0.334 0.750 0.864 (multiplicity 2)
Mg 0.085 0.250 0.609 (multiplicity 2)
S 0.117 0.250 0.860 (multiplicity 2)
S 0.200 0.750 0.546 (multiplicity 2)
S 0.460 0.750 0.149 (multiplicity 2)

Results
Its uncorrected formation energy is -968 kJ/mol of formula units. Its magnetic moment is 0.0 Bohr magnetons per cell.



Record 8
Li2CoCu after structural relaxation, computed with PBE.

Cell lengths 2.439, 3.950, 5.192 Å; angles 90.00, 90.00, 90.00 degrees
Space group Pmm2 (No. 25)
Unique sites:
Li 0.000 0.000 0.000 (multiplicity 1)
Li 0.500 0.500 0.264 (multiplicity 1)
Co 0.000 0.000 0.525 (multiplicity 1)
Cu 0.500 0.500 0.732 (multiplicity 1)

Results
The formation energy comes out at 0.127 eV/atom. Its magnetic moment is 1.3 Bohr magnetons per cell.



Record 9
TmHfMnCu after structural relaxation, computed with PBE.

Cell lengths 6.528, 6.528, 6.528 Å; angles 90.00, 90.00, 90.00 degrees
Space group F-43m (No. 216)
Unique sites:
Tm 0.000 0.000 0.000 (multiplicity 4)
Hf 0.000 0.000 0.500 (multiplicity 4)
Mn 0.250 0.250 0.250 (multiplicity 4)
Cu 0.250 0.250 0.750 (multiplicity 4)

Results
The formation energy comes out at 0.003 eV/atom. Its magnetic moment is 0.0 Bohr magnetons per cell.



Record 10
KNdTm4Se8 after structural relaxation, computed with PBE.

Cell lengths 8.4732, 8.4732, 21.3518 Å; angles 90.00, 90.00, 120.00 degrees
Space group R3m (No. 160, hexagonal axes)
Unique sites:
K 0.0000 0.0000 0.0000 (multiplicity 3)
Nd 0.0000 0.0000 0.6356 (multiplicity 3)
Tm 0.0000 0.0000 0.2563 (multiplicity 3)
Tm 0.1728 0.3455 0.4621 (multiplicity 9)
Se 0.0000 0.0000 0.3878 (multiplicity 3)
Se 0.0000 0.0000 0.8629 (multiplicity 3)
Se 0.0338 0.5169 0.3898 (multiplicity 9)
Se 0.1736 0.3472 0.2087 (multiplicity 9)

Results
Its uncorrected formation energy is -2329 kJ/mol of formula units. Its magnetic moment is 0.0 Bohr magnetons per cell.



Record 11
ScCr2Te after structural relaxation, computed with PBE.

Cell lengths 4.264, 4.264, 3.808 Å; angles 90.00, 90.00, 90.00 degrees
Space group P4/mmm (No. 123)
Unique sites:
Sc 0.000 0.000 0.000 (multiplicity 1)
Cr 0.000 0.500 0.500 (multiplicity 2)
Te 0.500 0.500 0.000 (multiplicity 1)

Results
Its uncorrected formation energy is 66 kJ/mol of formula units. Its magnetic moment is 5.1 Bohr magnetons per cell.



Record 12
TaNi5H6 after structural relaxation, computed with PBE.

Cell lengths 4.684, 8.044, 4.725 Å; angles 90.00, 107.50, 90.00 degrees
Space group C2/m (No. 12)
Unique sites:
Ta 0.000 0.000 0.000 (multiplicity 2)
Ni 0.000 0.161 0.500 (multiplicity 4)
Ni 0.000 0.332 0.000 (multiplicity 4)
Ni 0.000 0.500 0.500 (multiplicity 2)
H 0.204 0.500 0.243 (multiplicity 4)
H 0.227 0.332 0.709 (multiplicity 8)

Results
The calculation puts the uncorrected energy at -123.13 eV per cell. Its magnetic moment is 0.0 Bohr magnetons per cell.



Record 13
CsTl2HgF5 after structural relaxation, computed with PBE.

Cell lengths 7.702, 7.702, 13.528 Å; angles 90.00, 90.00, 90.00 degrees
Space group I4/mcm (No. 140)
Unique sites:
Cs 0.000 0.000 0.250 (multiplicity 4)
Tl 0.188 0.312 0.000 (multiplicity 8)
Hg 0.000 0.500 0.250 (multiplicity 4)
F 0.000 0.000 0.000 (multiplicity 4)
F 0.160 0.340 0.352 (multiplicity 16)

Results
Its uncorrected formation energy is -1599 kJ/mol of formula units. Its magnetic moment is 0.0 Bohr magnetons per cell.



Record 14
YCoSe2 after structural relaxation, computed with PBE.

Cell lengths 4.185, 3.822, 11.122 Å; angles 90.00, 90.00, 90.00 degrees
Space group Amm2 (No. 38)
Unique sites:
Y 0.000 0.000 0.000 (multiplicity 2)
Co 0.500 0.000 0.633 (multiplicity 2)
Se 0.000 0.000 0.712 (multiplicity 2)
Se 0.500 0.000 0.421 (multiplicity 2)

Results
Its uncorrected formation energy is -359 kJ/mol of formula units. Its magnetic moment is 4.0 Bohr magnetons per cell.



Record 15
PrPuHgPb after structural relaxation, computed with PBE.

Cell lengths 7.754, 7.754, 7.754 Å; angles 90.00, 90.00, 90.00 degrees
Space group F-43m (No. 216)
Unique sites:
Pr 0.000 0.000 0.000 (multiplicity 4)
Pu 0.000 0.000 0.500 (multiplicity 4)
Hg 0.250 0.250 0.250 (multiplicity 4)
Pb 0.250 0.250 0.750 (multiplicity 4)

Results
The formation energy comes out at -0.301 eV/atom. Its magnetic moment is 27.5 Bohr magnetons per cell.



Record 16
Al2FeHg after structural relaxation, computed with PBE.

Cell lengths 2.9483, 2.9483, 26.6046 Å; angles 90.00, 90.00, 120.00 degrees
Space group R3m (No. 160, hexagonal axes)
Unique sites:
Al 0.0000 0.0000 0.0000 (multiplicity 3)
Al 0.0000 0.0000 0.2486 (multiplicity 3)
Fe 0.0000 0.0000 0.7372 (multiplicity 3)
Hg 0.0000 0.0000 0.4888 (multiplicity 3)

Results
The formation energy comes out at 0.167 eV/atom. Its magnetic moment is 6.6 Bohr magnetons per cell.



Record 17
TlNiGe2Pt after structural relaxation, computed with PBE.

Cell lengths 4.443, 4.443, 5.112 Å; angles 90.00, 90.00, 90.00 degrees
Space group P4/mmm (No. 123)
Unique sites:
Tl 0.000 0.000 0.000 (multiplicity 1)
Ni 0.500 0.500 0.500 (multiplicity 1)
Ge 0.000 0.500 0.500 (multiplicity 2)
Pt 0.500 0.500 0.000 (multiplicity 1)

Results
The formation energy comes out at 0.188 eV/atom. Its magnetic moment is 0.0 Bohr magnetons per cell.



Record 18
KTlSn after structural relaxation, computed with PBE.

Cell lengths 3.745, 7.093, 8.686 Å; angles 94.23, 90.00, 105.03 degrees
Space group P1 (No. 1)
Unique sites:
K 0.000 0.000 0.000 (multiplicity 1)
K 0.236 0.483 0.630 (multiplicity 1)
Tl 0.505 0.996 0.527 (multiplicity 1)
Tl 0.732 0.474 0.972 (multiplicity 1)
Sn 0.325 0.662 0.256 (multiplicity 1)
Sn 0.655 0.317 0.287 (multiplicity 1)

Results
The formation energy comes out at -0.097 eV/atom. Its magnetic moment is 0.0 Bohr magnetons per cell.



Record 19
LiLaCo4 after structural relaxation, computed with PBE.

Cell lengths 7.079, 7.079, 7.079 Å; angles 90.00, 90.00, 90.00 degrees
Space group F-43m (No. 216)
Unique sites:
Li 0.000 0.000 0.000 (multiplicity 4)
La 0.250 0.250 0.250 (multiplicity 4)
Co 0.126 0.126 0.626 (multiplicity 16)

Results
The formation energy comes out at 0.045 eV/atom. Its magnetic moment is 18.6 Bohr magnetons per cell.



Record 20
Ce2RhPb after structural relaxation, computed with PBE.

Cell lengths 4.584, 4.584, 4.503 Å; angles 90.00, 90.00, 90.00 degrees
Space group P4/mmm (No. 123)
Unique sites:
Ce 0.000 0.500 0.000 (multiplicity 2)
Rh 0.000 0.000 0.500 (multiplicity 1)
Pb 0.500 0.500 0.500 (multiplicity 1)

Results
The formation energy comes out at -0.403 eV/atom. Its magnetic moment is 1.2 Bohr magnetons per cell.